1.
The following is a PBE-GGA calculation of Tb2Ho6Mg after structural relaxation, from the Alexandria database.

Cell lengths 3.5302, 3.5302, 25.8401 Å; angles 90.00, 90.00, 120.00 degrees
Closest atoms and distances in Å follow each position.
Positions (direct):
Tb 0.0000 0.0000 0.1737  6 Ho 3.46-3.54, 6 Tb 3.53
Tb 0.0000 0.0000 0.8263  6 Ho 3.46-3.54, 6 Tb 3.53
Ho 0.0000 0.0000 0.3944  3 Mg 3.41, 9 Ho 3.47-3.53
Ho 0.0000 0.0000 0.6056  3 Mg 3.41, 9 Ho 3.47-3.53
Ho 0.6667 0.3333 0.0655  7 Ho 3.39-3.53, 3 Tb 3.46
Ho 0.6667 0.3333 0.2858  9 Ho 3.47-3.53, 3 Tb 3.54
Ho 0.6667 0.3333 0.7142  9 Ho 3.47-3.53, 3 Tb 3.54
Ho 0.6667 0.3333 0.9345  7 Ho 3.39-3.53, 3 Tb 3.46
Mg 0.6667 0.3333 0.5000  6 Ho 3.41, 6 Mg 3.53

The formation energy is 0.0660 eV/atom. Its energy above the most stable polymorph in this dataset is 0.38 eV per formula unit. The calculation puts the total magnetic moment at 0.0 μB/f.u. For the total energy, the calculation gives -4.192 eV per atom.

---

2.
The following is a PBE-GGA calculation of Tb8Ho6Mg after structural relaxation, from the Alexandria database.

Cell lengths 9.3646, 9.3646, 6.2521 Å; angles 90.00, 90.00, 120.00 degrees
Closest atoms and distances in Å follow each position.
Positions (direct):
Tb 0.0385 0.7690 0.1855  1 Mg 3.07, 3 Tb 3.31-3.35, 1 Ho 3.34
Tb 0.2310 0.2694 0.1855  1 Mg 3.07, 3 Tb 3.31-3.35, 1 Ho 3.34
Tb 0.2694 0.0385 0.8145  1 Mg 3.07, 3 Tb 3.31-3.35, 1 Ho 3.34
Tb 0.3333 0.6667 0.1802  3 Tb 3.35, 3 Ho 3.67
Tb 0.6667 0.3333 0.8198  3 Tb 3.35, 3 Ho 3.67
Tb 0.7306 0.9615 0.1855  1 Mg 3.07, 3 Tb 3.31-3.35, 1 Ho 3.34
Tb 0.7690 0.7306 0.8145  1 Mg 3.07, 3 Tb 3.31-3.35, 1 Ho 3.34
Tb 0.9615 0.2310 0.8145  1 Mg 3.07, 3 Tb 3.31-3.35, 1 Ho 3.34
Ho 0.0928 0.6407 0.6827  1 Ho 3.26, 5 Tb 3.34-3.62
Ho 0.3593 0.4521 0.6827  1 Ho 3.26, 5 Tb 3.34-3.62
Ho 0.4521 0.0928 0.3173  1 Ho 3.26, 5 Tb 3.34-3.62
Ho 0.5479 0.9072 0.6827  1 Ho 3.26, 5 Tb 3.34-3.62
Ho 0.6407 0.5479 0.3173  1 Ho 3.26, 5 Tb 3.34-3.62
Ho 0.9072 0.3593 0.3173  1 Ho 3.26, 5 Tb 3.34-3.62
Mg 0.0000 0.0000 0.5000  6 Tb 3.07

The formation energy is 0.1453 eV/atom. The calculation puts the total magnetic moment at 0.0 μB/f.u. For the total energy, the calculation gives -4.262 eV per atom.

---

3.
The following is a PBE-GGA calculation of TbHoMg4 after structural relaxation, from the Alexandria database.

Cell lengths 7.0822, 7.0822, 6.7888 Å; angles 103.85, 103.85, 28.12 degrees
Closest atoms and distances in Å follow each position.
Positions (direct):
Tb 0.0000 0.0000 0.0000  8 Mg 3.36, 2 Ho 3.39, 2 Tb 3.44
Ho 0.0000 0.0000 0.5000  8 Mg 3.35-3.36, 2 Tb 3.39, 2 Ho 3.44
Mg 0.3247 0.3247 0.1632  8 Mg 3.14-3.44, 2 Ho 3.36, 2 Tb 3.36
Mg 0.3253 0.3253 0.6614  8 Mg 3.13-3.44, 2 Ho 3.35, 2 Tb 3.36
Mg 0.6747 0.6747 0.3386  8 Mg 3.13-3.44, 2 Ho 3.35, 2 Tb 3.36
Mg 0.6753 0.6753 0.8368  8 Mg 3.14-3.44, 2 Ho 3.36, 2 Tb 3.36

The formation energy is -0.0430 eV/atom. Its energy above the most stable polymorph in this dataset is 0.15 eV per formula unit. The calculation puts the total magnetic moment at 0.0 μB/f.u. For the total energy, the calculation gives -2.641 eV per atom.

---

4.
The following is a PBE-GGA calculation of Tb4Ho7Mg after structural relaxation, from the Alexandria database.

Cell lengths 5.4162, 5.4162, 30.5738 Å; angles 90.00, 90.00, 120.00 degrees
Closest atoms and distances in Å follow each position.
Positions (direct):
Tb 0.3333 0.6667 0.0812  1 Tb 3.26, 10 Ho 3.35-3.62
Tb 0.3333 0.6667 0.1877  1 Tb 3.26, 3 Ho 3.44
Tb 0.6667 0.3333 0.8123  1 Tb 3.26, 3 Ho 3.44
Tb 0.6667 0.3333 0.9188  1 Tb 3.26, 10 Ho 3.35-3.62
Ho 0.0000 0.0000 0.1209  3 Ho 3.18, 3 Tb 3.35
Ho 0.0000 0.0000 0.5000  6 Ho 5.42
Ho 0.0000 0.0000 0.8791  3 Ho 3.18, 3 Tb 3.35
Ho 0.3333 0.6667 0.8594  4 Ho 3.18-3.31, 3 Tb 3.44
Ho 0.3333 0.6667 0.9676  3 Mg 3.28, 1 Ho 3.31, 4 Tb 3.46-3.47
Ho 0.6667 0.3333 0.0324  3 Mg 3.28, 1 Ho 3.31, 4 Tb 3.46-3.47
Ho 0.6667 0.3333 0.1406  4 Ho 3.18-3.31, 3 Tb 3.44
Mg 0.0000 0.0000 0.0000  6 Ho 3.28

The formation energy is 0.6708 eV/atom. Its energy above the most stable polymorph in this dataset is 7.32 eV per formula unit. The calculation puts the total magnetic moment at 1.0 μB/f.u. For the total energy, the calculation gives -3.676 eV per atom.

---

5.
The following is a PBE-GGA calculation of TbHo3Mg3 after structural relaxation, from the Alexandria database.

Cell lengths 9.0903, 5.4828, 9.0945 Å; angles 90.00, 119.97, 90.00 degrees
Closest atoms and distances in Å follow each position.
Positions (direct):
Tb 0.1671 0.2500 0.3333  9 Mg 3.38-3.43, 3 Ho 3.42
Tb 0.8329 0.7500 0.6667  9 Mg 3.38-3.43, 3 Ho 3.42
Ho 0.2578 0.7500 0.8004  5 Mg 3.34-3.51, 6 Ho 3.41-3.53, 1 Tb 3.42
Ho 0.3005 0.2500 0.0421  5 Mg 3.34-3.51, 6 Ho 3.41-3.52, 1 Tb 3.42
Ho 0.4577 0.2500 0.7579  5 Mg 3.34-3.51, 6 Ho 3.41-3.53, 1 Tb 3.42
Ho 0.5423 0.7500 0.2421  5 Mg 3.34-3.51, 6 Ho 3.41-3.53, 1 Tb 3.42
Ho 0.6995 0.7500 0.9579  5 Mg 3.34-3.51, 6 Ho 3.41-3.52, 1 Tb 3.42
Ho 0.7422 0.2500 0.1996  5 Mg 3.34-3.51, 6 Ho 3.41-3.53, 1 Tb 3.42
Mg 0.0206 0.2500 0.6152  5 Ho 3.34-3.51, 4 Mg 3.36-3.43, 3 Tb 3.38-3.43
Mg 0.1152 0.7500 0.0944  5 Ho 3.34-3.51, 4 Mg 3.36-3.43, 3 Tb 3.38-3.43
Mg 0.4054 0.7500 0.5208  5 Ho 3.34-3.51, 4 Mg 3.36-3.43, 3 Tb 3.38-3.42
Mg 0.5946 0.2500 0.4792  5 Ho 3.34-3.51, 4 Mg 3.36-3.43, 3 Tb 3.38-3.42
Mg 0.8848 0.2500 0.9056  5 Ho 3.34-3.51, 4 Mg 3.36-3.43, 3 Tb 3.38-3.43
Mg 0.9794 0.7500 0.3848  5 Ho 3.34-3.51, 4 Mg 3.36-3.43, 3 Tb 3.38-3.43

The formation energy is 0.0087 eV/atom. The calculation puts the total magnetic moment at 0.0 μB/f.u. For the total energy, the calculation gives -3.298 eV per atom.

---

6.
The following is a PBE-GGA calculation of Tb3HoMg6 after structural relaxation, from the Alexandria database.

Cell lengths 9.2787, 5.2665, 11.2529 Å; angles 90.00, 105.49, 90.00 degrees
Closest atoms and distances in Å follow each position.
Positions (direct):
Tb 0.0418 0.2500 0.3967  8 Mg 3.22-3.37
Tb 0.1484 0.7500 0.2052  8 Mg 3.28-3.34
Tb 0.2503 0.2500 0.0050  8 Mg 3.22-3.32
Tb 0.7497 0.7500 0.9950  8 Mg 3.22-3.32
Tb 0.8516 0.2500 0.7948  8 Mg 3.28-3.34
Tb 0.9582 0.7500 0.6033  8 Mg 3.22-3.37
Ho 0.4500 0.2500 0.6005  8 Mg 3.19-3.27
Ho 0.5500 0.7500 0.3995  8 Mg 3.19-3.27
Mg 0.0588 0.7500 0.9001  1 Mg 3.20, 7 Tb 3.22-3.32
Mg 0.1632 0.2500 0.7071  1 Ho 3.20, 2 Mg 3.20, 5 Tb 3.23-3.37
Mg 0.2576 0.7500 0.5097  3 Ho 3.19-3.27, 1 Mg 3.21, 4 Tb 3.22-3.35
Mg 0.3545 0.7500 0.8056  8 Mg 3.19-3.22
Mg 0.3578 0.2500 0.3025  3 Ho 3.20-3.23, 1 Mg 3.22, 4 Tb 3.23-3.37
Mg 0.4537 0.7500 0.1009  3 Mg 3.19-3.20, 1 Ho 3.24, 4 Tb 3.25-3.34
Mg 0.5463 0.2500 0.8991  3 Mg 3.19-3.20, 1 Ho 3.24, 4 Tb 3.25-3.34
Mg 0.6422 0.7500 0.6975  3 Ho 3.20-3.23, 1 Mg 3.22, 4 Tb 3.23-3.37
Mg 0.6455 0.2500 0.1944  8 Mg 3.19-3.22
Mg 0.7424 0.2500 0.4903  3 Ho 3.19-3.27, 1 Mg 3.21, 4 Tb 3.22-3.35
Mg 0.8368 0.7500 0.2929  1 Ho 3.20, 2 Mg 3.20, 5 Tb 3.23-3.37
Mg 0.9412 0.2500 0.0999  1 Mg 3.20, 7 Tb 3.22-3.32

The formation energy is -0.0657 eV/atom. The calculation puts the total magnetic moment at 0.1 μB/f.u. For the total energy, the calculation gives -2.869 eV per atom.

---

7.
The following is a PBE-GGA calculation of Tb3Ho2Mg after structural relaxation, from the Alexandria database.

Cell lengths 9.3511, 9.3511, 6.1966 Å; angles 101.94, 101.94, 44.05 degrees
Closest atoms and distances in Å follow each position.
Positions (direct):
Tb 0.0442 0.2930 0.0284  5 Tb 3.41-3.56, 6 Ho 3.47-3.62, 1 Mg 3.51
Tb 0.1258 0.8742 0.7500  2 Ho 3.48, 6 Tb 3.50-3.57, 4 Mg 3.51-3.55
Tb 0.2930 0.0442 0.5284  5 Tb 3.41-3.56, 6 Ho 3.47-3.62, 1 Mg 3.51
Tb 0.7070 0.9558 0.4716  5 Tb 3.41-3.56, 6 Ho 3.47-3.62, 1 Mg 3.51
Tb 0.8742 0.1258 0.2500  2 Ho 3.48, 6 Tb 3.50-3.57, 4 Mg 3.51-3.55
Tb 0.9558 0.7070 0.9716  5 Tb 3.41-3.56, 6 Ho 3.47-3.62, 1 Mg 3.51
Ho 0.2123 0.4582 0.4640  2 Mg 3.41-3.48, 7 Tb 3.47-3.62, 3 Ho 3.55-3.56
Ho 0.4582 0.2123 0.9640  2 Mg 3.41-3.48, 7 Tb 3.47-3.62, 3 Ho 3.55-3.56
Ho 0.5418 0.7877 0.0360  2 Mg 3.41-3.48, 7 Tb 3.47-3.62, 3 Ho 3.55-3.56
Ho 0.7877 0.5418 0.5360  2 Mg 3.41-3.48, 7 Tb 3.47-3.62, 3 Ho 3.55-3.56
Mg 0.3741 0.6259 0.2500  4 Ho 3.41-3.48, 6 Tb 3.51-3.55, 2 Mg 3.57
Mg 0.6259 0.3741 0.7500  4 Ho 3.41-3.48, 6 Tb 3.51-3.55, 2 Mg 3.57

The formation energy is 0.0234 eV/atom. Its energy above the most stable polymorph in this dataset is 0.22 eV per formula unit. The calculation puts the total magnetic moment at 0.0 μB/f.u. For the total energy, the calculation gives -4.083 eV per atom.

---

8.
The following is a PBE-GGA calculation of Tb5Ho4Mg after structural relaxation, from the Alexandria database.

Cell lengths 3.5546, 3.5546, 24.3335 Å; angles 90.00, 90.00, 90.00 degrees
Closest atoms and distances in Å follow each position.
Positions (direct):
Tb 0.0000 0.0000 0.0000  8 Ho 3.54, 4 Tb 3.55
Tb 0.0000 0.0000 0.2049  8 Ho 3.54-3.55, 4 Tb 3.55
Tb 0.0000 0.0000 0.4086  4 Mg 3.36, 4 Ho 3.51, 4 Tb 3.55
Tb 0.0000 0.0000 0.5914  4 Mg 3.36, 4 Ho 3.51, 4 Tb 3.55
Tb 0.0000 0.0000 0.7951  8 Ho 3.54-3.55, 4 Tb 3.55
Ho 0.5000 0.5000 0.1025  8 Tb 3.54, 4 Ho 3.55
Ho 0.5000 0.5000 0.3079  8 Tb 3.51-3.55, 4 Ho 3.55
Ho 0.5000 0.5000 0.6921  8 Tb 3.51-3.55, 4 Ho 3.55
Ho 0.5000 0.5000 0.8975  8 Tb 3.54, 4 Ho 3.55
Mg 0.5000 0.5000 0.5000  8 Tb 3.36, 4 Mg 3.55

The formation energy is -0.0012 eV/atom. Its energy above the most stable polymorph in this dataset is 0.00 eV per formula unit. The calculation puts the total magnetic moment at 0.0 μB/f.u. For the total energy, the calculation gives -4.307 eV per atom.

---

9.
The following is a PBE-GGA calculation of TbHo5Mg after structural relaxation, from the Alexandria database.

Cell lengths 7.0355, 7.0355, 7.0355 Å; angles 126.81, 125.43, 79.70 degrees
Closest atoms and distances in Å follow each position.
Positions (direct):
Tb 0.0000 0.0000 0.0000  2 Mg 3.40, 2 Ho 3.43
Ho 0.3425 0.1016 0.7591  4 Ho 3.03-3.33, 1 Mg 3.21
Ho 0.3425 0.5834 0.2409  4 Ho 3.03-3.33, 1 Mg 3.21
Ho 0.3890 0.6250 0.7641  5 Ho 3.04-3.41
Ho 0.8609 0.6250 0.2359  5 Ho 3.04-3.41
Ho 0.8739 0.3739 0.5000  1 Mg 2.98, 2 Ho 3.20
Mg 0.5981 0.0981 0.5000  3 Ho 2.98-3.21

The formation energy is 0.2328 eV/atom. The calculation puts the total magnetic moment at 0.0 μB/f.u. For the total energy, the calculation gives -3.926 eV per atom.

---

10.
The following is a PBE-GGA calculation of TbHo5Mg4 after structural relaxation, from the Alexandria database.

Cell lengths 3.7057, 3.7057, 20.3304 Å; angles 90.00, 90.00, 90.00 degrees
Closest atoms and distances in Å follow each position.
Positions (direct):
Tb 0.0000 0.0000 0.0000  8 Ho 3.55, 4 Tb 3.71
Ho 0.5000 0.5000 0.1178  4 Mg 3.28, 4 Tb 3.55
Ho 0.5000 0.5000 0.3100  8 Mg 3.25-3.26
Ho 0.5000 0.5000 0.5000  8 Mg 3.26
Ho 0.5000 0.5000 0.6900  8 Mg 3.25-3.26
Ho 0.5000 0.5000 0.8822  4 Mg 3.28, 4 Tb 3.55
Mg 0.0000 0.0000 0.2149  8 Ho 3.26-3.28
Mg 0.0000 0.0000 0.4045  8 Ho 3.25-3.26
Mg 0.0000 0.0000 0.5955  8 Ho 3.25-3.26
Mg 0.0000 0.0000 0.7851  8 Ho 3.26-3.28

The formation energy is -0.0437 eV/atom. The calculation puts the total magnetic moment at 0.0 μB/f.u. For the total energy, the calculation gives -3.433 eV per atom.

---

11.
The following is a PBE-GGA calculation of Tb2HoMg4 after structural relaxation, from the Alexandria database.

Cell lengths 7.1889, 7.1889, 5.4160 Å; angles 90.00, 90.00, 130.88 degrees
Closest atoms and distances in Å follow each position.
Positions (direct):
Tb 0.1327 0.8673 0.0000  5 Mg 2.99-3.27
Tb 0.8673 0.1327 0.0000  5 Mg 2.99-3.27
Ho 0.5000 0.5000 0.5000  6 Mg 3.11-3.13
Mg 0.2605 0.7395 0.5000  4 Mg 3.00-3.14, 1 Ho 3.13, 2 Tb 3.18
Mg 0.3826 0.6174 0.0000  3 Tb 2.99-3.27, 3 Mg 3.07-3.14, 2 Ho 3.11
Mg 0.6174 0.3826 0.0000  3 Tb 2.99-3.27, 3 Mg 3.07-3.14, 2 Ho 3.11
Mg 0.7395 0.2605 0.5000  4 Mg 3.00-3.14, 1 Ho 3.13, 2 Tb 3.18

The formation energy is 0.3852 eV/atom. Its energy above the most stable polymorph in this dataset is 1.73 eV per formula unit. The calculation puts the total magnetic moment at 0.0 μB/f.u. For the total energy, the calculation gives -2.503 eV per atom.

---

12.
The following is a PBE-GGA calculation of TbHoMg after structural relaxation, from the Alexandria database.

Cell lengths 3.4243, 5.3897, 9.4568 Å; angles 90.00, 90.05, 90.00 degrees
Closest atoms and distances in Å follow each position.
Positions (direct):
Tb 0.0023 0.0000 0.0840  4 Tb 3.13-3.42, 1 Mg 3.18
Tb 0.9977 0.5000 0.9160  4 Tb 3.13-3.42, 1 Mg 3.18
Ho 0.5002 0.0001 0.7444  2 Ho 3.42, 6 Mg 3.51-3.56, 6 Tb 3.58-3.64
Ho 0.4998 0.5001 0.2556  2 Ho 3.42, 6 Mg 3.51-3.56, 6 Tb 3.58-3.64
Mg 0.0011 0.5015 0.5795  4 Mg 3.09-3.42, 1 Tb 3.18
Mg 0.9989 0.0015 0.4205  4 Mg 3.09-3.42, 1 Tb 3.18

The formation energy is 0.0163 eV/atom. Its energy above the most stable polymorph in this dataset is 0.16 eV per formula unit. The calculation puts the total magnetic moment at 0.0 μB/f.u. For the total energy, the calculation gives -3.585 eV per atom.